Computed, not measured: a geometry-optimized LiTa structure at the PBE level of DFT.

Structure (CIF):
```
data_LiTa
_cell_length_a 2.802
_cell_length_b 2.802
_cell_length_c 9.809
_cell_angle_alpha 90.00
_cell_angle_beta 90.00
_cell_angle_gamma 107.16
_space_group_name_H-M_alt 'P 1'
_space_group_IT_number 1
_space_group_name_Hall 'P 1'
loop_
_atom_site_label
_atom_site_type_symbol
_atom_site_fract_x
_atom_site_fract_y
_atom_site_fract_z
Ta1 Ta 0.500 0.500 0.260
Ta2 Ta 0.000 0.000 0.490
Li1 Li 0.000 0.000 0.004
Li2 Li 0.500 0.500 0.746
```

Summary:
The energy relative to the lowest polymorph listed for this composition comes out at 0.0 meV/atom. As for the total energy: -0.49004 Ry per atom. For the density of states at the Fermi level, the calculation gives 1.000 states/eV/atom. The calculated volume is 74 Å³/cell. Its formation energy is 0.22 eV/atom.

=====

Computed, not measured: a geometry-optimized LiTa3 structure at the PBE level of DFT.

Structure (CIF):
```
data_LiTa3
_cell_length_a 4.474
_cell_length_b 4.474
_cell_length_c 3.422
_cell_angle_alpha 90.00
_cell_angle_beta 90.00
_cell_angle_gamma 90.00
_space_group_name_H-M_alt 'P 1'
_space_group_IT_number 1
_space_group_name_Hall 'P 1'
loop_
_atom_site_label
_atom_site_type_symbol
_atom_site_fract_x
_atom_site_fract_y
_atom_site_fract_z
Ta1 Ta 0.500 0.500 0.000
Ta2 Ta 0.500 0.000 0.500
Ta3 Ta 0.000 0.500 0.500
Li1 Li 0.000 0.000 0.000
```

Summary:
The energy relative to the lowest polymorph listed for this composition comes out at 124.4 meV/atom. As for the total energy: -0.66406 Ry per atom. For the density of states at the Fermi level, the calculation gives 0.950 states/eV/atom. The calculated volume is 69 Å³/cell. Its formation energy is 0.33 eV/atom.

=====

Computed, not measured: a geometry-optimized Li5Ta structure at the PBE level of DFT.

Structure (CIF):
```
data_Li5Ta
_cell_length_a 5.188
_cell_length_b 5.188
_cell_length_c 4.131
_cell_angle_alpha 90.00
_cell_angle_beta 90.00
_cell_angle_gamma 120.00
_space_group_name_H-M_alt 'P 1'
_space_group_IT_number 1
_space_group_name_Hall 'P 1'
loop_
_atom_site_label
_atom_site_type_symbol
_atom_site_fract_x
_atom_site_fract_y
_atom_site_fract_z
Li1 Li 0.333 0.667 0.000
Li2 Li 0.000 0.500 0.500
Li3 Li 0.500 0.000 0.500
Li4 Li 0.500 0.500 0.500
Li5 Li 0.667 0.333 0.000
Ta1 Ta 0.000 0.000 0.000
```

Summary:
The energy relative to the lowest polymorph listed for this composition comes out at 452.1 meV/atom. As for the total energy: -0.21329 Ry per atom. For the density of states at the Fermi level, the calculation gives 0.718 states/eV/atom. The calculated volume is 96 Å³/cell. Its formation energy is 0.67 eV/atom.

=====

energy relative to the lowest polymorph listed for this composition of number 3 (Li5Ta)?
452.1 meV/atom

=====

Among the records above, which one has the highest calculated volume?
Li5Ta

=====

energy relative to the lowest polymorph listed for this composition of number 1 (LiTa)?
0.0 meV/atom